Record 1
{
  "formula": "CeGa3Pd5",
  "functional": "PBE",
  "state": "relaxed",
  "formation_energy_mev_per_atom": -616,
  "sg": "Cmcm (63)",
  "magmom_total_mub_per_fu": 1.006,
  "lattice": [[3.887, 0.000, 0.000], [-1.943, 6.572, 0.000], [0.000, 0.000, 13.039]],
  "species": ["Ce", "Ce", "Ga", "Ga", "Ga", "Ga", "Ga", "Ga", "Pd", "Pd", "Pd", "Pd", "Pd", "Pd", "Pd", "Pd", "Pd", "Pd"],
  "frac_coords": [[0.869, 0.738, 0.750], [0.131, 0.262, 0.250], [0.380, 0.760, 0.961], [0.873, 0.747, 0.250], [0.380, 0.760, 0.539], [0.620, 0.240, 0.461], [0.127, 0.253, 0.750], [0.620, 0.240, 0.039], [0.801, 0.602, 0.428], [0.199, 0.398, 0.928], [0.000, 0.000, 0.500], [0.000, 0.000, 0.000], [0.456, 0.912, 0.147], [0.544, 0.088, 0.853], [0.544, 0.088, 0.647], [0.801, 0.602, 0.072], [0.199, 0.398, 0.572], [0.456, 0.912, 0.353]]
}

Record 2
{
  "formula": "Ce2Ga3Pd2",
  "functional": "PBE",
  "state": "relaxed",
  "formation_energy_mev_per_atom": -719,
  "sg": "Cmcm (63)",
  "magmom_total_mub_per_fu": 0.560,
  "lattice": [[-3.709, 0.034, -1.982], [1.712, -6.192, -3.312], [-1.971, -4.859, 8.066]],
  "species": ["Ce", "Ce", "Ce", "Ce", "Ga", "Ga", "Ga", "Ga", "Ga", "Ga", "Pd", "Pd", "Pd", "Pd"],
  "frac_coords": [[0.159, 0.250, 0.318], [0.841, 0.750, 0.682], [0.942, 0.250, 0.885], [0.058, 0.750, 0.115], [0.222, 0.750, 0.443], [0.778, 0.250, 0.557], [0.560, 0.426, 0.119], [0.440, 0.574, 0.881], [0.440, 0.926, 0.881], [0.560, 0.074, 0.119], [0.692, 0.953, 0.384], [0.308, 0.047, 0.616], [0.308, 0.453, 0.616], [0.692, 0.547, 0.384]]
}